Entry 1:
Compound: Ac2Ir2Pb3
Source: Alexandria
Functional: GGA-PBE
Structure: relaxed

Results
- spin magnetization (μB/f.u.) = 0.000
- calculated formation energy (kJ/mol of formula units) = -264
- SG = No. 65

extended XYZ file:
```
14
Lattice="4.3011 0.0000 0.0000 0.0000 21.5444 0.0000 0.0000 0.0000 4.3383" Properties=species:S:1:pos:R:3 pbc="T T T"
Ac 0.0000 3.6860 0.0000
Ac 0.0000 17.8584 0.0000
Ac 2.1506 7.0862 0.0000
Ac 2.1506 14.4582 0.0000
Ir 0.0000 6.1545 2.1691
Ir 0.0000 15.3899 2.1691
Ir 2.1506 4.6177 2.1691
Ir 2.1506 16.9267 2.1691
Pb 0.0000 0.0000 0.0000
Pb 0.0000 9.0953 2.1691
Pb 0.0000 12.4491 2.1691
Pb 2.1506 1.6769 2.1691
Pb 2.1506 10.7722 0.0000
Pb 2.1506 19.8675 2.1691
```

***

Entry 2:
Compound: Li5Bi2
Source: Alexandria
Functional: GGA-PBE
Structure: relaxed

Results
- spin magnetization (μB/f.u.) = 0.000
- calculated formation energy (kJ/mol of formula units) = -314
- SG = No. 2

extended XYZ file:
```
7
Lattice="4.7191 0.0000 0.0000 2.3513 4.1258 0.0000 2.3196 1.3658 7.7118" Properties=species:S:1:pos:R:3 pbc="T T T"
Li 0.0000 0.0000 0.0000
Li 2.3288 1.3927 4.7348
Li 4.6870 2.7496 6.6074
Li 4.7030 2.7420 1.1044
Li 7.0612 4.0989 2.9770
Bi 2.3462 1.3578 1.8301
Bi 7.0439 4.1338 5.8817
```

***

Entry 3:
Compound: Cs5RbTe
Source: Alexandria
Functional: GGA-PBE
Structure: relaxed

Results
- spin magnetization (μB/f.u.) = 0.000
- energy relative to the elements, uncorrected (eV per atom) = -0.3809
- SG = No. 15

extended XYZ file:
```
14
Lattice="9.1893 -5.3357 0.0000 9.1893 5.3357 0.0000 -6.2985 0.0000 13.9760" Properties=species:S:1:pos:R:3 pbc="T T T"
Cs 4.4654 5.2505 10.4820
Cs 3.6109 2.9071 5.7385
Cs 0.6782 2.5489 13.1061
Cs 11.6184 2.9071 1.2495
Cs 8.2526 2.5489 7.8578
Cs 3.8275 -2.5489 6.1181
Cs 0.4616 -2.9071 12.7265
Cs 11.4018 -2.5489 0.8699
Cs 8.4692 -2.9071 8.2374
Cs 7.6147 -5.2505 3.4940
Rb 4.4654 0.0545 10.4820
Rb 7.6147 -0.0545 3.4940
Te 0.0000 0.0000 0.0000
Te -3.1493 0.0000 6.9880
```

***

Entry 4:
Compound: PuU2Co9
Source: Alexandria
Functional: GGA-PBE
Structure: relaxed

Results
- spin magnetization (μB/f.u.) = 0.480
- calculated formation energy (kJ/mol of formula units) = -178
- SG = No. 166

extended XYZ file:
```
12
Lattice="2.4196 1.3970 8.0819 -2.4196 1.3970 8.0819 0.0000 -2.7939 8.0819" Properties=species:S:1:pos:R:3 pbc="T T T"
Pu 0.0000 0.0000 0.0000
U 0.0000 0.0000 3.3820
U 0.0000 0.0000 20.8638
Co -1.2073 -0.6970 10.0866
Co 0.0000 0.0000 8.0832
Co 0.0000 -1.3940 14.1591
Co -1.2073 0.6970 14.1591
Co 0.0000 0.0000 12.1229
Co 1.2073 -0.6970 10.0866
Co 0.0000 1.3940 10.0866
Co 0.0000 0.0000 16.1626
Co 1.2073 0.6970 14.1591
```

***

Entry 5:
Compound: SiOs3I
Source: Alexandria
Functional: GGA-PBE
Structure: relaxed

Results
- spin magnetization (μB/f.u.) = 0.000
- distance to the lowest polymorph of the same formula (meV/atom) = 0.0
- energy relative to the elements, uncorrected (eV per atom) = 1.6052
- SG = No. 221

extended XYZ file:
```
5
Lattice="4.4955 0.0000 0.0000 0.0000 4.4955 0.0000 0.0000 0.0000 4.4955" Properties=species:S:1:pos:R:3 pbc="T T T"
Si 0.0000 0.0000 0.0000
Os 0.0000 0.0000 2.2478
Os 0.0000 2.2478 0.0000
Os 2.2478 0.0000 0.0000
I 2.2478 2.2478 2.2478
```

***

Entry 6:
Compound: PbS5Br
Source: Alexandria
Functional: GGA-PBE
Structure: relaxed

Results
- spin magnetization (μB/f.u.) = 0.000
- energy relative to the elements, uncorrected (eV per atom) = -0.0949
- SG = No. 1

extended XYZ file:
```
7
Lattice="4.5665 0.0000 0.0000 0.2166 5.0873 0.0000 0.1163 2.5362 10.3946" Properties=species:S:1:pos:R:3 pbc="T T T"
Pb 0.0000 0.0000 0.0000
S 0.1199 2.5169 6.4675
S 1.5289 4.9784 9.3737
S 1.6437 3.2587 5.2424
S 3.1614 1.8378 5.2085
S 3.4874 5.1812 9.3730
Br 2.4996 5.0877 1.8764
```

***

Entry 7:
Compound: NaMg3B
Source: Alexandria
Functional: GGA-PBE
Structure: relaxed

Results
- spin magnetization (μB/f.u.) = 0.000
- distance to the lowest polymorph of the same formula (meV/atom) = 0.0
- calculated formation energy (kJ/mol of formula units) = 116
- SG = No. 221

extended XYZ file:
```
5
Lattice="4.7033 0.0000 0.0000 0.0000 4.7033 0.0000 0.0000 0.0000 4.7033" Properties=species:S:1:pos:R:3 pbc="T T T"
Na 0.0000 0.0000 0.0000
Mg 0.0000 2.3516 2.3516
Mg 2.3516 0.0000 2.3516
Mg 2.3516 2.3516 0.0000
B 2.3516 2.3516 2.3516
```

***

Entry 8:
Compound: ReGe2SbS
Source: Alexandria
Functional: GGA-PBE
Structure: relaxed

Results
- spin magnetization (μB/f.u.) = 0.000
- energy relative to the elements, uncorrected (eV per atom) = 0.3279
- SG = No. 123

extended XYZ file:
```
5
Lattice="4.7844 0.0000 0.0000 0.0000 4.7844 0.0000 0.0000 0.0000 5.1573" Properties=species:S:1:pos:R:3 pbc="T T T"
Re 0.0000 0.0000 0.0000
Ge 0.0000 2.3922 0.0000
Ge 2.3922 0.0000 0.0000
Sb 0.0000 0.0000 2.5786
S 2.3922 2.3922 2.5786
```

***

What is the formula in the second record? Li5Bi2

***

What is the spin magnetization in the fifth record? 0.000 μB/f.u.

***

The highest spin magnetization belongs to which entry? PuU2Co9